Record 1
Below is a geometry-optimized CsUCoTe4 structure, with properties calculated at the PBE-GGA level.

The space group is P2_1/m (No. 11) and the conventional cell measures 7.3360, 6.3527 and 10.6484 Å, with angles of 90.00, 105.55 and 90.00 degrees. Symmetry generates all atoms from Cs at (0.2250, 0.2500, 0.0430), U at (0.2665, 0.2500, 0.5487), Co at (0.2708, 0.7500, 0.3599), Te at (0.0076, 0.5033, 0.6915), Te at (0.4290, 0.7500, 0.5972) and Te at (0.4532, 0.7500, 0.1895).

Its uncorrected formation energy is -0.5207 eV per atom. Its volume is 478 Å³ per cell. The density of states at the Fermi level is 18.1 states/eV/cell.



Record 2
Below is a geometry-optimized AsSeCl2 structure, with properties calculated at the PBE-GGA level.

The space group is Cmmm (No. 65) and the conventional cell measures 3.2562, 5.6856 and 11.9599 Å, with angles of 90.00, 90.00 and 90.00 degrees. Symmetry generates all atoms from As at (0.0000, 0.0000, 0.0000), Se at (0.0000, 0.0000, 0.5000) and Cl at (0.0000, 0.5000, 0.1587).

Its uncorrected formation energy is 0.1806 eV per atom. Its volume is 221 Å³ per cell. The density of states at the Fermi level is 5.9 states/eV/cell.